1.
Below is a relaxed Li4AlAg3 crystal, with properties calculated at the PBE level.

Lattice parameters (Å, degrees): 18.443 3.220 4.450 90.00 101.53 90.00
Space group C2/m (No. 12)
Asymmetric unit:
Li 0.120 0.000 0.103 (multiplicity 4)
Li 0.250 0.000 0.747 (multiplicity 4)
Al 0.000 0.000 0.500 (multiplicity 2)
Ag 0.000 0.500 0.000 (multiplicity 2)
Ag 0.126 0.500 0.611 (multiplicity 4)

polymorph energy (0 for the lowest one): 0.0199 eV per atom
formation energy: -171 meV/atom
E: -2.665 eV/atom

***

2.
Below is a relaxed Nd2DyY2Ho4 crystal, with properties calculated at the PBE level.

Lattice parameters (Å, degrees): 18.704 3.604 9.574 90.00 115.74 90.00
Space group C2/m (No. 12)
Asymmetric unit:
Nd 0.165 0.000 0.001 (multiplicity 4)
Dy 0.000 0.500 0.000 (multiplicity 2)
Y 0.147 0.500 0.662 (multiplicity 4)
Ho 0.019 0.000 0.334 (multiplicity 4)
Ho 0.185 0.500 0.336 (multiplicity 4)

formation energy: -3 meV/atom
E: -5.045 eV/atom

***

3.
Below is a relaxed Nd3Tl2Cd4 crystal, with properties calculated at the PBE level.

Lattice parameters (Å, degrees): 7.7735 7.7735 4.6394 90.00 90.00 120.00
Space group P-62m (No. 189)
Asymmetric unit:
Nd 0.0000 0.5783 0.0000 (multiplicity 3)
Tl 0.3333 0.6667 0.5000 (multiplicity 2)
Cd 0.0000 0.0000 0.0000 (multiplicity 1)
Cd 0.0000 0.2397 0.5000 (multiplicity 3)

polymorph energy (0 for the lowest one): 0.0000 eV per atom
formation energy: -363 meV/atom
E: -2.885 eV/atom

***

4.
Below is a relaxed Re2NiBr crystal, with properties calculated at the PBE level.

Lattice parameters (Å, degrees): 3.728 3.728 4.465 90.00 90.00 90.00
Space group P4/mmm (No. 123)
Asymmetric unit:
Re 0.000 0.500 0.000 (multiplicity 2)
Ni 0.000 0.000 0.500 (multiplicity 1)
Br 0.500 0.500 0.500 (multiplicity 1)

formation energy without anion corrections: 131 kJ/mol of atoms
polymorph energy (0 for the lowest one): 0.8899 eV per atom
E: -6.725 eV/atom

***

5.
Below is a relaxed Tb5Pm2PrDy crystal, with properties calculated at the PBE level.

Lattice parameters (Å, degrees): 8.793 8.793 15.479 90.00 90.00 90.00
Space group I4/mcm (No. 140)
Asymmetric unit:
Tb 0.000 0.000 0.000 (multiplicity 4)
Tb 0.209 0.291 0.137 (multiplicity 16)
Pm 0.116 0.384 0.500 (multiplicity 8)
Pr 0.000 0.000 0.250 (multiplicity 4)
Dy 0.000 0.500 0.250 (multiplicity 4)

formation energy: 266 meV/atom
E: -4.405 eV/atom

***

6.
Below is a relaxed Tc2NiBr crystal, with properties calculated at the PBE level.

Lattice parameters (Å, degrees): 2.879 4.511 4.634 90.00 90.00 90.00
Space group Pmmm (No. 47)
Asymmetric unit:
Tc 0.000 0.000 0.000 (multiplicity 1)
Tc 0.500 0.500 0.000 (multiplicity 1)
Ni 0.000 0.500 0.500 (multiplicity 1)
Br 0.500 0.000 0.500 (multiplicity 1)

formation energy without anion corrections: 86 kJ/mol of atoms
polymorph energy (0 for the lowest one): 0.5133 eV per atom
E: -6.150 eV/atom